one | NbPF3 | GGA-PBE | relaxed

Cell lengths 4.2411, 4.2411, 4.2411 Å; angles 90.00, 90.00, 90.00 degrees
Last column: nearest neighbours and their distance in Å.
Fractional coordinates of all 5 atoms:
P  0.5000  0.5000  0.5000  12 F 3.00
Nb  0.0000  0.0000  0.0000  6 F 2.12
F  0.0000  0.5000  0.0000  2 Nb 2.12
F  0.0000  0.0000  0.5000  2 Nb 2.12
F  0.5000  0.0000  0.0000  2 Nb 2.12

Computed properties:
ρ	3.94	g/cm³

two | NbPF3 | GGA-PBE | relaxed

Cell lengths 4.2735, 4.2735, 4.2735 Å; angles 90.00, 90.00, 90.00 degrees
Last column: nearest neighbours and their distance in Å.
Fractional coordinates of all 5 atoms:
P  0.0000  0.0000  0.0000  6 F 2.14
Nb  0.5000  0.5000  0.5000  12 F 3.02
F  0.0000  0.5000  0.0000  2 P 2.14
F  0.0000  0.0000  0.5000  2 P 2.14
F  0.5000  0.0000  0.0000  2 P 2.14

Computed properties:
ρ	3.85	g/cm³

If we sort the structures by their calculated energies, the order from most to least stable is one, two.

one | NbP2F | GGA-PBE | relaxed

Cell lengths 5.5019, 5.5019, 6.7810 Å; angles 66.07, 66.07, 90.00 degrees
Last column: nearest neighbours and their distance in Å.
Fractional coordinates of all 8 atoms:
P  0.6285  0.1250  0.2500  2 Nb 2.38, 2 F 2.40
P  0.1215  0.6250  0.2500  2 Nb 2.38, 2 F 2.40
P  0.3750  0.3715  0.7500  2 Nb 2.38, 2 F 2.40
P  0.8750  0.8785  0.7500  2 Nb 2.38, 2 F 2.40
Nb  0.0000  0.0000  0.0000  4 P 2.38
Nb  0.7500  0.2500  0.5000  4 P 2.38
F  0.5000  0.5000  0.0000  4 P 2.40
F  0.2500  0.7500  0.5000  4 P 2.40

Computed properties:
ρ	3.43	g/cm³

two | NbP2F | GGA-PBE | relaxed

Cell lengths 4.3403, 4.3403, 4.3403 Å; angles 60.00, 60.00, 60.00 degrees
Last column: nearest neighbours and their distance in Å.
Fractional coordinates of all 4 atoms:
P  0.2500  0.2500  0.2500  4 F 2.66, 4 Nb 2.66
P  0.7500  0.7500  0.7500  4 F 2.66, 4 Nb 2.66
Nb  0.5000  0.5000  0.5000  8 P 2.66
F  0.0000  0.0000  0.0000  8 P 2.66

Computed properties:
ρ	4.99	g/cm³

If we sort the structures by their calculated energies, the order from most to least stable is two, one.

one | NbPbF2 | GGA-PBE | relaxed

Cell lengths 10.3347, 10.3347, 10.3347 Å; angles 16.78, 16.78, 16.78 degrees
Last column: nearest neighbours and their distance in Å.
Fractional coordinates of all 4 atoms:
Pb  0.0000  0.0000  0.0000  6 Pb 3.02
Nb  0.5000  0.5000  0.5000  6 F 2.29
F  0.8819  0.8819  0.8819  3 Nb 2.29
F  0.1181  0.1181  0.1181  3 Nb 2.29

Computed properties:
ρ	7.00	g/cm³

two | NbPbF2 | GGA-PBE | relaxed

Cell lengths 4.4104, 4.4104, 7.9301 Å; angles 73.85, 73.85, 90.00 degrees
Last column: nearest neighbours and their distance in Å.
Fractional coordinates of all 8 atoms:
Pb  0.0000  0.0000  0.0000  4 F 2.77
Pb  0.7500  0.2500  0.5000  4 F 2.77
Nb  0.5000  0.5000  0.0000  4 F 2.18
Nb  0.2500  0.7500  0.5000  4 F 2.18
F  0.4751  0.1250  0.2500  2 Nb 2.18, 2 F 2.38
F  0.2749  0.6250  0.2500  2 Nb 2.18, 2 F 2.38
F  0.3750  0.5249  0.7500  2 Nb 2.18, 2 F 2.38
F  0.8750  0.7251  0.7500  2 Nb 2.18, 2 F 2.38

Computed properties:
ρ	7.92	g/cm³

three | NbPbF2 | GGA-PBE | relaxed

Cell lengths 4.4719, 4.4719, 4.4719 Å; angles 60.00, 60.00, 60.00 degrees
Last column: nearest neighbours and their distance in Å.
Fractional coordinates of all 4 atoms:
Pb  0.5000  0.5000  0.5000  8 F 2.74
Nb  0.0000  0.0000  0.0000  8 F 2.74
F  0.2500  0.2500  0.2500  4 Pb 2.74, 4 Nb 2.74
F  0.7500  0.7500  0.7500  4 Nb 2.74, 4 Pb 2.74

Computed properties:
ρ	8.88	g/cm³

If we sort the structures by their calculated energies, the order from most to least stable is one, two, three.

one | NbPd2F | GGA-PBE | relaxed

Cell lengths 4.4248, 4.4248, 4.4248 Å; angles 60.00, 60.00, 60.00 degrees
Last column: nearest neighbours and their distance in Å.
Fractional coordinates of all 4 atoms:
Nb  0.5000  0.5000  0.5000  8 Pd 2.71
Pd  0.2500  0.2500  0.2500  4 Nb 2.71, 4 F 2.71
Pd  0.7500  0.7500  0.7500  4 F 2.71, 4 Nb 2.71
F  0.0000  0.0000  0.0000  8 Pd 2.71

Computed properties:
ρ	8.80	g/cm³

two | NbPd2F | GGA-PBE | relaxed

Cell lengths 6.9312, 6.9312, 5.5487 Å; angles 51.35, 51.35, 90.00 degrees
Last column: nearest neighbours and their distance in Å.
Fractional coordinates of all 8 atoms:
Nb  0.0000  0.0000  0.0000  2 F 2.60, 4 Pd 2.61
Nb  0.7500  0.2500  0.5000  2 F 2.60, 4 Pd 2.61
Pd  0.6098  0.1250  0.2500  2 F 2.46, 2 Nb 2.61, 2 Pd 2.61
Pd  0.1402  0.6250  0.2500  2 F 2.46, 2 Nb 2.61, 2 Pd 2.61
Pd  0.3750  0.3902  0.7500  2 F 2.46, 2 Nb 2.61, 2 Pd 2.61
Pd  0.8750  0.8598  0.7500  2 F 2.46, 2 Nb 2.61, 2 Pd 2.61
F  0.5000  0.5000  0.0000  4 Pd 2.46, 2 Nb 2.60
F  0.2500  0.7500  0.5000  4 Pd 2.46, 2 Nb 2.60

Computed properties:
ρ	8.63	g/cm³

If we sort the structures by their calculated energies, the order from most to least stable is two, one.

one | NbPd3F | GGA-PBE | relaxed

Cell lengths 4.3296, 4.3296, 4.3296 Å; angles 90.00, 90.00, 90.00 degrees
Last column: nearest neighbours and their distance in Å.
Fractional coordinates of all 5 atoms:
Nb  0.5000  0.5000  0.5000  12 Pd 3.06
Pd  0.0000  0.5000  0.0000  2 F 2.16
Pd  0.0000  0.0000  0.5000  2 F 2.16
Pd  0.5000  0.0000  0.0000  2 F 2.16
F  0.0000  0.0000  0.0000  6 Pd 2.16

Computed properties:
ρ	8.82	g/cm³

two | NbPd3F | GGA-PBE | relaxed

Cell lengths 4.8535, 4.8535, 4.8535 Å; angles 90.00, 90.00, 90.00 degrees
Last column: nearest neighbours and their distance in Å.
Fractional coordinates of all 5 atoms:
Nb  0.0000  0.0000  0.0000  6 Pd 2.43
Pd  0.0000  0.5000  0.0000  2 Nb 2.43
Pd  0.0000  0.0000  0.5000  2 Nb 2.43
Pd  0.5000  0.0000  0.0000  2 Nb 2.43
F  0.5000  0.5000  0.5000  12 Pd 3.43

Computed properties:
ρ	6.26	g/cm³

If we sort the structures by their calculated energies, the order from most to least stable is one, two.

one | NbPt2F | GGA-PBE | relaxed

Cell lengths 4.4395, 4.4395, 4.4395 Å; angles 60.00, 60.00, 60.00 degrees
Last column: nearest neighbours and their distance in Å.
Fractional coordinates of all 4 atoms:
Nb  0.5000  0.5000  0.5000  8 Pt 2.72
Pt  0.2500  0.2500  0.2500  4 F 2.72, 4 Nb 2.72
Pt  0.7500  0.7500  0.7500  4 Nb 2.72, 4 F 2.72
F  0.0000  0.0000  0.0000  8 Pt 2.72

Computed properties:
ρ	13.47	g/cm³

two | NbPt2F | GGA-PBE | relaxed

Cell lengths 7.1517, 7.1517, 5.6850 Å; angles 51.02, 51.02, 90.00 degrees
Last column: nearest neighbours and their distance in Å.
Fractional coordinates of all 8 atoms:
Nb  0.0000  0.0000  0.0000  4 Pt 2.56, 2 F 2.60
Nb  0.7500  0.2500  0.5000  4 Pt 2.56, 2 F 2.60
Pt  0.6362  0.1250  0.2500  2 Nb 2.56, 2 Pt 2.60, 2 F 2.67
Pt  0.1138  0.6250  0.2500  2 Nb 2.56, 2 Pt 2.60, 2 F 2.67
Pt  0.3750  0.3638  0.7500  2 Nb 2.56, 2 Pt 2.60, 2 F 2.67
Pt  0.8750  0.8862  0.7500  2 Nb 2.56, 2 Pt 2.60, 2 F 2.67
F  0.5000  0.5000  0.0000  2 Nb 2.60, 4 Pt 2.67
F  0.2500  0.7500  0.5000  2 Nb 2.60, 4 Pt 2.67

Computed properties:
ρ	12.55	g/cm³

If we sort the structures by their calculated energies, the order from most to least stable is two, one.

one | NbPt3F | GGA-PBE | relaxed

Cell lengths 4.3476, 4.3476, 4.3476 Å; angles 90.00, 90.00, 90.00 degrees
Last column: nearest neighbours and their distance in Å.
Fractional coordinates of all 5 atoms:
Nb  0.5000  0.5000  0.5000  12 Pt 3.07
Pt  0.0000  0.5000  0.0000  2 F 2.17
Pt  0.0000  0.0000  0.5000  2 F 2.17
Pt  0.5000  0.0000  0.0000  2 F 2.17
F  0.0000  0.0000  0.0000  6 Pt 2.17

Computed properties:
ρ	14.09	g/cm³

two | NbPt3F | GGA-PBE | relaxed

Cell lengths 4.8783, 4.8783, 4.8783 Å; angles 90.00, 90.00, 90.00 degrees
Last column: nearest neighbours and their distance in Å.
Fractional coordinates of all 5 atoms:
Nb  0.0000  0.0000  0.0000  6 Pt 2.44
Pt  0.0000  0.5000  0.0000  2 Nb 2.44
Pt  0.0000  0.0000  0.5000  2 Nb 2.44
Pt  0.5000  0.0000  0.0000  2 Nb 2.44
F  0.5000  0.5000  0.5000  12 Pt 3.45

Computed properties:
ρ	9.97	g/cm³

If we sort the structures by their calculated energies, the order from most to least stable is one, two.